{"formula": "Mo3OsF", "functional": "PBE+U", "state": "optimized geometry", "dft_energy_ev_per_fu": -27.82, "spacegroup": "No. 221", "relative_energy_mev_per_atom": 0, "cell": [[4.195, 0.000, 0.000], [0.000, 4.195, 0.000], [0.000, 0.000, 4.195]], "species": ["Mo", "Mo", "Mo", "Os", "F"], "fractional_positions": [[0.000, 0.000, 0.500], [0.000, 0.500, 0.000], [0.500, 0.000, 0.000], [0.500, 0.500, 0.500], [0.000, 0.000, 0.000]]}